A.
Material: CsHfC2
Method: DFT, PBE
State: relaxed

abc: 6.4075 6.4075 6.4075
angles: 90.00 90.00 90.00
Atoms (fractional coordinates):
Cs1 0.0000 0.0000 0.0000
Cs2 0.0000 0.5000 0.5000
Cs3 0.5000 0.0000 0.5000
Cs4 0.5000 0.5000 0.0000
Hf1 0.0000 0.0000 0.5000
Hf2 0.0000 0.5000 0.0000
Hf3 0.5000 0.0000 0.0000
Hf4 0.5000 0.5000 0.5000
C1 0.2500 0.2500 0.2500
C2 0.2500 0.2500 0.7500
C3 0.2500 0.7500 0.2500
C4 0.2500 0.7500 0.7500
C5 0.7500 0.2500 0.2500
C6 0.7500 0.2500 0.7500
C7 0.7500 0.7500 0.2500
C8 0.7500 0.7500 0.7500

B.
Material: CsHfC2
Method: DFT, PBE
State: relaxed

abc: 6.8265 6.8265 9.4849
angles: 90.00 90.00 90.00
Atoms (fractional coordinates):
Cs1 0.0000 0.0000 0.0000
Cs2 0.0000 0.5000 0.2500
Cs3 0.5000 0.0000 0.7500
Cs4 0.5000 0.5000 0.5000
Hf1 0.0000 0.0000 0.5000
Hf2 0.0000 0.5000 0.7500
Hf3 0.5000 0.0000 0.2500
Hf4 0.5000 0.5000 0.0000
C1 0.0699 0.2500 0.6250
C2 0.2500 0.5699 0.8750
C3 0.2500 0.9301 0.3750
C4 0.4301 0.2500 0.1250
C5 0.5699 0.7500 0.1250
C6 0.7500 0.0699 0.3750
C7 0.7500 0.4301 0.8750
C8 0.9301 0.7500 0.6250

How far above the most stable structure does each one sit? In meV/atom: A 1338; B 0.

A.
Material: CsHg3C
Method: DFT, PBE
State: relaxed

abc: 7.4309 7.4309 7.4309
angles: 90.00 90.00 90.00
Atoms (fractional coordinates):
Cs1 0.0000 0.0000 0.0000
Hg1 0.0000 0.0000 0.5000
Hg2 0.0000 0.5000 0.0000
Hg3 0.5000 0.0000 0.0000
C1 0.5000 0.5000 0.5000

B.
Material: CsHg3C
Method: DFT, PBE
State: relaxed

abc: 5.2571 5.2571 5.2571
angles: 90.00 90.00 90.00
Atoms (fractional coordinates):
Cs1 0.0000 0.0000 0.0000
Hg1 0.0000 0.5000 0.5000
Hg2 0.5000 0.0000 0.5000
Hg3 0.5000 0.5000 0.0000
C1 0.5000 0.5000 0.5000

How far above the most stable structure does each one sit? In meV/atom: A 623; B 0.

A.
Material: CsC3I
Method: DFT, PBE
State: relaxed

abc: 4.6156 4.6156 4.6156
angles: 90.00 90.00 90.00
Atoms (fractional coordinates):
Cs1 0.0000 0.0000 0.0000
C1 0.0000 0.5000 0.5000
C2 0.5000 0.0000 0.5000
C3 0.5000 0.5000 0.0000
I1 0.5000 0.5000 0.5000

B.
Material: CsC3I
Method: DFT, PBE
State: relaxed

abc: 5.5091 5.5091 5.5091
angles: 90.00 90.00 90.00
Atoms (fractional coordinates):
Cs1 0.0000 0.0000 0.0000
C1 0.0000 0.0000 0.5000
C2 0.0000 0.5000 0.0000
C3 0.5000 0.0000 0.0000
I1 0.5000 0.5000 0.5000

How far above the most stable structure does each one sit? In meV/atom: A 0; B 840.

A.
Material: Cs2CI
Method: DFT, PBE
State: relaxed

abc: 9.1842 9.1842 10.3228
angles: 90.00 90.00 90.00
Atoms (fractional coordinates):
Cs1 0.1972 0.2500 0.1250
Cs2 0.2500 0.6972 0.3750
Cs3 0.2500 0.8028 0.8750
Cs4 0.3028 0.2500 0.6250
Cs5 0.6972 0.7500 0.6250
Cs6 0.7500 0.1972 0.8750
Cs7 0.7500 0.3028 0.3750
Cs8 0.8028 0.7500 0.1250
C1 0.0000 0.0000 0.0000
C2 0.0000 0.5000 0.2500
C3 0.5000 0.0000 0.7500
C4 0.5000 0.5000 0.5000
I1 0.0000 0.0000 0.5000
I2 0.0000 0.5000 0.7500
I3 0.5000 0.0000 0.2500
I4 0.5000 0.5000 0.0000

B.
Material: Cs2CI
Method: DFT, PBE
State: relaxed

abc: 8.9036 8.9036 8.9036
angles: 90.00 90.00 90.00
Atoms (fractional coordinates):
Cs1 0.2500 0.2500 0.2500
Cs2 0.2500 0.2500 0.7500
Cs3 0.2500 0.7500 0.2500
Cs4 0.2500 0.7500 0.7500
Cs5 0.7500 0.2500 0.2500
Cs6 0.7500 0.2500 0.7500
Cs7 0.7500 0.7500 0.2500
Cs8 0.7500 0.7500 0.7500
C1 0.0000 0.0000 0.0000
C2 0.0000 0.5000 0.5000
C3 0.5000 0.0000 0.5000
C4 0.5000 0.5000 0.0000
I1 0.0000 0.0000 0.5000
I2 0.0000 0.5000 0.0000
I3 0.5000 0.0000 0.0000
I4 0.5000 0.5000 0.5000

How far above the most stable structure does each one sit? In meV/atom: A 0; B 19.